Material: HgCl5
Method: DFT, GGA-PBE
State: optimized geometry

Cell lengths 7.4803, 7.4803, 3.4639 Å; angles 90.00, 90.00, 120.00 degrees
With the nearest neighbours (Å) after each atom.
Fractional coordinates of all 6 atoms:
Cl  0.6667  0.3333  0.0000  6 Cl 2.77
Cl  0.0000  0.5000  0.5000  4 Cl 2.77
Cl  0.5000  0.5000  0.5000  4 Cl 2.77
Cl  0.3333  0.6667  0.0000  6 Cl 2.77
Cl  0.5000  0.0000  0.5000  4 Cl 2.77
Hg  0.0000  0.0000  0.0000  2 Hg 3.46

Properties
ΔE_f (raw)   296 kJ/mol of formula units
Space group   No. 191
N(E_F)   5.96 states/eV/cell
Offset from the most stable computed form   673 meV per atom
Total energy   -0.040 hartree per atom